No. 1
# Sr2BePb | Alexandria | SCAN | PBEsol geometry
# **Formation enthalpy at 0 K**: 0.175 eV/atom
# **Energy above the lowest structure with this stoichiometry**: 28.7 kJ per mole of atoms
# **DOS(E_F)**: 0.5527 states/eV/atom
data_Sr2BePb
_symmetry_space_group_name_H-M 'P m m 2'
_symmetry_Int_Tables_number 25
_cell_length_a 3.911
_cell_length_b 4.950
_cell_length_c 6.755
_cell_angle_alpha 90.00
_cell_angle_beta 90.00
_cell_angle_gamma 90.00
loop_
_symmetry_equiv_pos_as_xyz
'x,y,z'
'-x,-y,z'
'-x,y,z'
'x,-y,z'
loop_
_atom_site_label
_atom_site_type_symbol
_atom_site_fract_x
_atom_site_fract_y
_atom_site_fract_z
Sr1 Sr 0.000 0.000 0.000
Sr2 Sr 0.500 0.500 0.376
Be1 Be 0.000 0.000 0.531
Pb1 Pb 0.500 0.500 0.843

---

No. 2
# Li2TiSi | Alexandria | SCAN | PBEsol geometry
# **ΔE_f (raw)**: -0.2 eV/f.u.
# **DOS(E_F)**: 0.3662 states/eV/atom
data_Li2TiSi
_symmetry_space_group_name_H-M 'I -4 2 d'
_symmetry_Int_Tables_number 122
_symmetry_space_group_name_Hall 'I -4 2bw'
_cell_length_a 3.567
_cell_length_b 3.567
_cell_length_c 19.746
_cell_angle_alpha 90.00
_cell_angle_beta 90.00
_cell_angle_gamma 90.00
loop_
_atom_site_label
_atom_site_type_symbol
_atom_site_fract_x
_atom_site_fract_y
_atom_site_fract_z
Li1 Li 0.224 0.250 0.125
Ti1 Ti 0.000 0.000 0.500
Si1 Si 0.000 0.000 0.000